[1]
Sb2W: optimized geometry, GGA-PBE.

Summary:
Its formation energy without anion corrections is 0.6903 eV/atom. The value obtained for the distance to the lowest polymorph of the same formula is 411.6 meV/atom. The volume comes out at 21.1 A^3/atom.

```
data_Sb2W
_chemical_formula_sum 'Sb4 W2'
_space_group_name_H-M_alt 'P 1'
_space_group_IT_number 1
_space_group_name_Hall 'P 1'
_cell_length_a 7.057
_cell_length_b 7.057
_cell_length_c 5.115
_cell_angle_alpha 90.00
_cell_angle_beta 90.00
_cell_angle_gamma 150.25
loop_
_atom_site_label
_atom_site_type_symbol
_atom_site_fract_x
_atom_site_fract_y
_atom_site_fract_z
_atom_site_occupancy
W1 W 0.101 0.899 0.750 1
W2 W 0.899 0.101 0.250 1
Sb1 Sb 0.561 0.439 0.250 1
Sb2 Sb 0.762 0.238 0.750 1
Sb3 Sb 0.439 0.561 0.750 1
Sb4 Sb 0.238 0.762 0.250 1
```

---

[2]
Si2NiAu: optimized geometry, GGA-PBE.

Summary:
Its formation energy without anion corrections is -0.0400 eV/atom. The volume comes out at 14.6 A^3/atom.

```
data_Si2NiAu
_chemical_formula_sum 'Si2 Ni1 Au1'
_space_group_name_H-M_alt 'P 1'
_space_group_IT_number 1
_space_group_name_Hall 'P 1'
_cell_length_a 4.058
_cell_length_b 4.058
_cell_length_c 5.379
_cell_angle_alpha 77.74
_cell_angle_beta 77.74
_cell_angle_gamma 42.61
loop_
_atom_site_label
_atom_site_type_symbol
_atom_site_fract_x
_atom_site_fract_y
_atom_site_fract_z
_atom_site_occupancy
Au1 Au 0.750 0.750 0.750 1
Ni1 Ni 0.250 0.250 0.250 1
Si1 Si 0.509 0.509 0.447 1
Si2 Si 0.991 0.991 0.053 1
```

---

[3]
Li3TaSe: optimized geometry, GGA-PBE.

Summary:
Its formation energy without anion corrections is 0.5636 eV/atom. The value obtained for the distance to the lowest polymorph of the same formula is 0.0 meV/atom. The volume comes out at 19.0 A^3/atom.

```
data_Li3TaSe
_chemical_formula_sum 'Li3 Ta1 Se1'
_space_group_name_H-M_alt 'P 1'
_space_group_IT_number 1
_space_group_name_Hall 'P 1'
_cell_length_a 4.561
_cell_length_b 4.561
_cell_length_c 4.561
_cell_angle_alpha 90.00
_cell_angle_beta 90.00
_cell_angle_gamma 90.00
loop_
_atom_site_label
_atom_site_type_symbol
_atom_site_fract_x
_atom_site_fract_y
_atom_site_fract_z
_atom_site_occupancy
Ta1 Ta 0.500 0.500 0.500 1
Li1 Li 0.000 0.000 0.500 1
Li2 Li 0.000 0.500 0.000 1
Li3 Li 0.500 0.000 0.000 1
Se1 Se 0.000 0.000 0.000 1
```

---

[4]
NdDy2Si2Ni2: optimized geometry, GGA-PBE.

Summary:
Its formation energy without anion corrections is -0.6298 eV/atom. The volume comes out at 20.7 A^3/atom.

```
data_NdDy2Si2Ni2
_chemical_formula_sum 'Nd1 Dy2 Si2 Ni2'
_space_group_name_H-M_alt 'P 1'
_space_group_IT_number 1
_space_group_name_Hall 'P 1'
_cell_length_a 4.181
_cell_length_b 4.181
_cell_length_c 9.889
_cell_angle_alpha 77.80
_cell_angle_beta 77.80
_cell_angle_gamma 60.00
loop_
_atom_site_label
_atom_site_type_symbol
_atom_site_fract_x
_atom_site_fract_y
_atom_site_fract_z
_atom_site_occupancy
Dy1 Dy 0.124 0.124 0.629 1
Dy2 Dy 0.876 0.876 0.371 1
Ni1 Ni 0.597 0.597 0.208 1
Ni2 Ni 0.403 0.403 0.792 1
Si1 Si 0.262 0.262 0.214 1
Si2 Si 0.738 0.738 0.786 1
Nd1 Nd 0.000 0.000 0.000 1
```

---

[5]
Rb4Ac3LaTe8: optimized geometry, GGA-PBE.

Summary:
Its formation energy without anion corrections is -1.4920 eV/atom. The volume comes out at 43.7 A^3/atom.

```
data_Rb4Ac3LaTe8
_chemical_formula_sum 'Rb4 Ac3 La1 Te8'
_space_group_name_H-M_alt 'P 1'
_space_group_IT_number 1
_space_group_name_Hall 'P 1'
_cell_length_a 9.692
_cell_length_b 10.250
_cell_length_c 9.692
_cell_angle_alpha 118.22
_cell_angle_beta 120.00
_cell_angle_gamma 90.00
loop_
_atom_site_label
_atom_site_type_symbol
_atom_site_fract_x
_atom_site_fract_y
_atom_site_fract_z
_atom_site_occupancy
Te1 Te 0.257 0.290 0.023 1
Te2 Te 0.767 0.290 0.023 1
Te3 Te 0.743 0.710 0.977 1
Te4 Te 0.233 0.710 0.467 1
Te5 Te 0.233 0.710 0.977 1
Te6 Te 0.738 0.714 0.476 1
Te7 Te 0.767 0.290 0.533 1
Te8 Te 0.262 0.286 0.524 1
La1 La 0.000 0.500 0.000 1
Rb1 Rb 0.000 0.000 0.500 1
Rb2 Rb 0.500 0.000 0.000 1
Rb3 Rb 0.500 0.000 0.500 1
Rb4 Rb 0.000 0.000 0.000 1
Ac1 Ac 0.500 0.500 0.000 1
Ac2 Ac 0.500 0.500 0.500 1
Ac3 Ac 0.000 0.500 0.500 1
```

---

[6]
Ag2PPdPt: optimized geometry, GGA-PBE.

Summary:
The raw total energy comes out at -18.4 eV per formula unit. The volume comes out at 21.8 A^3/atom.

```
data_Ag2PPdPt
_chemical_formula_sum 'Ag2 P1 Pd1 Pt1'
_space_group_name_H-M_alt 'P 1'
_space_group_IT_number 1
_space_group_name_Hall 'P 1'
_cell_length_a 5.044
_cell_length_b 4.285
_cell_length_c 5.044
_cell_angle_alpha 90.00
_cell_angle_beta 90.00
_cell_angle_gamma 90.00
loop_
_atom_site_label
_atom_site_type_symbol
_atom_site_fract_x
_atom_site_fract_y
_atom_site_fract_z
_atom_site_occupancy
Pt1 Pt 0.500 0.500 0.500 1
Ag1 Ag 0.000 0.000 0.500 1
Ag2 Ag 0.500 0.000 0.000 1
Pd1 Pd 0.000 0.000 0.000 1
P1 P 0.000 0.500 0.000 1
```

---

[7]
Sr2BiAsPd6: optimized geometry, GGA-PBE.

Summary:
The raw total energy comes out at -49.0 eV per formula unit. The volume comes out at 22.5 A^3/atom.

```
data_Sr2BiAsPd6
_chemical_formula_sum 'Sr4 Bi2 As2 Pd12'
_space_group_name_H-M_alt 'P 1'
_space_group_IT_number 1
_space_group_name_Hall 'P 1'
_cell_length_a 5.734
_cell_length_b 8.705
_cell_length_c 9.033
_cell_angle_alpha 90.00
_cell_angle_beta 90.00
_cell_angle_gamma 90.00
loop_
_atom_site_label
_atom_site_type_symbol
_atom_site_fract_x
_atom_site_fract_y
_atom_site_fract_z
_atom_site_occupancy
As1 As 0.500 0.234 0.500 1
As2 As 0.000 0.766 0.000 1
Pd1 Pd 0.252 0.001 0.000 1
Pd2 Pd 0.241 0.532 0.000 1
Pd3 Pd 0.000 0.900 0.754 1
Pd4 Pd 0.752 0.999 0.500 1
Pd5 Pd 0.259 0.468 0.500 1
Pd6 Pd 0.248 0.999 0.500 1
Pd7 Pd 0.748 0.001 0.000 1
Pd8 Pd 0.759 0.532 0.000 1
Pd9 Pd 0.000 0.900 0.246 1
Pd10 Pd 0.500 0.100 0.746 1
Pd11 Pd 0.741 0.468 0.500 1
Pd12 Pd 0.500 0.100 0.254 1
Bi1 Bi 0.500 0.276 0.000 1
Bi2 Bi 0.000 0.724 0.500 1
Sr1 Sr 0.000 0.268 0.750 1
Sr2 Sr 0.500 0.732 0.750 1
Sr3 Sr 0.000 0.268 0.250 1
Sr4 Sr 0.500 0.732 0.250 1
```

---

[8]
Pm3Pr2Os2: optimized geometry, GGA-PBE.

Summary:
The raw total energy comes out at -46.9 eV per formula unit. The volume comes out at 28.6 A^3/atom.

```
data_Pm3Pr2Os2
_chemical_formula_sum 'Pm3 Pr2 Os2'
_space_group_name_H-M_alt 'P 1'
_space_group_IT_number 1
_space_group_name_Hall 'P 1'
_cell_length_a 4.024
_cell_length_b 6.505
_cell_length_c 8.813
_cell_angle_alpha 112.69
_cell_angle_beta 90.00
_cell_angle_gamma 108.01
loop_
_atom_site_label
_atom_site_type_symbol
_atom_site_fract_x
_atom_site_fract_y
_atom_site_fract_z
_atom_site_occupancy
Os1 Os 0.179 0.357 0.225 1
Os2 Os 0.821 0.643 0.775 1
Pm1 Pm 0.624 0.247 0.425 1
Pm2 Pm 0.500 0.000 0.000 1
Pm3 Pm 0.376 0.753 0.575 1
Pr1 Pr 0.835 0.669 0.193 1
Pr2 Pr 0.165 0.331 0.807 1
```